# Ho4Cd2InPd (PBE-GGA, relaxed)
# Calculated formation energy: -0.49 eV per atom
# M_tot: 0.000 μB per cell
# Electronic total energy: -32.0 eV/f.u.
# V: 593 Å³ per cell
data_Ho4Cd2InPd
_chemical_formula_sum 'Ho12 Cd6 In3 Pd3'
_cell_length_a 5.1999
_cell_length_b 5.1999
_cell_length_c 25.3075
_cell_angle_alpha 90.00
_cell_angle_beta 90.00
_cell_angle_gamma 120.00
_space_group_name_H-M_alt 'R -3 m'
_space_group_IT_number 166
_space_group_name_Hall '-R 3 2"'
loop_
_atom_site_label
_atom_site_fract_x
_atom_site_fract_y
_atom_site_fract_z
Ho1 0.0000 0.0000 0.1180
Ho2 0.0000 0.0000 0.3700
Cd1 0.0000 0.0000 0.2451
In1 0.0000 0.0000 0.5000
Pd1 0.0000 0.0000 0.0000